Record 1
{"formula": "TlNiPt", "functional": "PBE", "state": "optimized geometry", "lattice_angstrom": [[-1.573, 1.573, 4.983], [1.573, -1.573, 4.983], [1.573, 1.573, -4.983]], "species": ["Tl", "Ni", "Pt"], "fractional_positions": [[0.000, 0.000, 0.000], [0.336, 0.336, 0.000], [0.690, 0.690, 0.000]], "space_group": "I4mm", "total_energy_ev_per_atom": -4.549, "vol_a3_per_cell": 49}

Record 2
{"formula": "TbNdRhI", "functional": "PBE", "state": "optimized geometry", "lattice_angstrom": [[2.060, 1.190, 8.086], [-2.060, 1.190, 8.086], [0.000, -2.379, 8.086]], "species": ["Tb", "Nd", "Rh", "I"], "fractional_positions": [[0.000, 0.000, 0.000], [0.789, 0.789, 0.789], [0.392, 0.392, 0.392], [0.564, 0.564, 0.564]], "space_group": "R3m", "vol_a3_per_cell": 119, "formation_energy_uncorrected_ev_per_atom": -0.939}

Record 3
{"formula": "CsHfCu2I8", "functional": "PBE", "state": "optimized geometry", "lattice_angstrom": [[5.975, -4.025, 0.000], [5.975, 4.025, 0.000], [-2.550, 0.000, 10.692]], "species": ["Cs", "Hf", "Cu", "Cu", "I", "I", "I", "I", "I", "I", "I", "I"], "fractional_positions": [[0.000, 0.000, 0.000], [0.000, 0.000, 0.500], [0.390, 0.390, 0.704], [0.610, 0.610, 0.296], [0.208, 0.713, 0.308], [0.238, 0.238, 0.497], [0.287, 0.792, 0.692], [0.349, 0.349, 0.917], [0.651, 0.651, 0.083], [0.713, 0.208, 0.308], [0.762, 0.762, 0.503], [0.792, 0.287, 0.692]], "space_group": "C2/m", "vol_a3_per_cell": 514, "formation_energy_uncorrected_ev_per_atom": -0.643}

Record 4
{"formula": "LaH11Pd5", "functional": "PBE", "state": "optimized geometry", "lattice_angstrom": [[4.531, -4.063, 0.000], [4.531, 4.063, 0.000], [-2.661, 0.000, 4.287]], "species": ["La", "H", "H", "H", "H", "H", "H", "H", "H", "H", "H", "H", "Pd", "Pd", "Pd", "Pd", "Pd"], "fractional_positions": [[0.000, 0.000, 0.000], [0.000, 0.000, 0.500], [0.168, 0.435, 0.491], [0.169, 0.611, 0.083], [0.273, 0.273, 0.925], [0.389, 0.831, 0.917], [0.435, 0.168, 0.491], [0.565, 0.832, 0.509], [0.611, 0.169, 0.083], [0.727, 0.727, 0.075], [0.831, 0.389, 0.917], [0.832, 0.565, 0.509], [0.007, 0.377, 0.696], [0.377, 0.007, 0.696], [0.500, 0.500, 0.000], [0.623, 0.993, 0.304], [0.993, 0.623, 0.304]], "space_group": "C2/m", "total_energy_ev_per_atom": -4.114, "vol_a3_per_cell": 158}

Record 5
{"formula": "Sr2Cd2Pd5Pt", "functional": "PBE", "state": "optimized geometry", "lattice_angstrom": [[10.337, 0.000, 0.000], [0.000, 10.337, 0.000], [0.000, 0.000, 3.846]], "species": ["Sr", "Sr", "Sr", "Sr", "Cd", "Cd", "Cd", "Cd", "Pd", "Pd", "Pd", "Pd", "Pd", "Pd", "Pd", "Pd", "Pd", "Pd", "Pt", "Pt"], "fractional_positions": [[0.175, 0.325, 0.000], [0.325, 0.825, 0.000], [0.675, 0.175, 0.000], [0.825, 0.675, 0.000], [0.127, 0.627, 0.000], [0.373, 0.127, 0.000], [0.627, 0.873, 0.000], [0.873, 0.373, 0.000], [0.000, 0.500, 0.500], [0.054, 0.807, 0.500], [0.193, 0.054, 0.500], [0.307, 0.554, 0.500], [0.446, 0.307, 0.500], [0.500, 0.000, 0.500], [0.554, 0.693, 0.500], [0.693, 0.446, 0.500], [0.807, 0.946, 0.500], [0.946, 0.193, 0.500], [0.000, 0.000, 0.000], [0.500, 0.500, 0.000]], "space_group": "P4/mbm", "total_energy_ev_per_atom": -4.063, "vol_a3_per_cell": 411}

Record 6
{"formula": "HfTc3As", "functional": "PBE", "state": "optimized geometry", "lattice_angstrom": [[4.519, 0.000, 0.000], [0.000, 4.519, 0.000], [0.000, 0.000, 4.519]], "species": ["Hf", "Tc", "Tc", "Tc", "As"], "fractional_positions": [[0.000, 0.000, 0.000], [0.000, 0.500, 0.500], [0.500, 0.000, 0.500], [0.500, 0.500, 0.000], [0.500, 0.500, 0.500]], "space_group": "Pm-3m", "total_energy_ev_per_atom": -8.597, "vol_a3_per_cell": 92}

Record 7
{"formula": "LaHoSe2", "functional": "PBE", "state": "optimized geometry", "lattice_angstrom": [[2.024, 1.168, 7.393], [-2.024, 1.168, 7.393], [0.000, -2.337, 7.393]], "species": ["La", "Ho", "Se", "Se"], "fractional_positions": [[0.000, 0.000, 0.000], [0.177, 0.177, 0.177], [0.427, 0.427, 0.427], [0.584, 0.584, 0.584]], "space_group": "R3m", "vol_a3_per_cell": 105, "formation_energy_uncorrected_ev_per_atom": -1.805}

Record 8
{"formula": "SrInCu2", "functional": "PBE", "state": "optimized geometry", "lattice_angstrom": [[3.809, -2.194, 0.000], [3.809, 2.194, 0.000], [-2.541, 0.000, 5.700]], "species": ["Sr", "In", "Cu", "Cu"], "fractional_positions": [[0.000, 0.000, 0.000], [0.807, 0.807, 0.419], [0.202, 0.202, 0.604], [0.534, 0.534, 0.599]], "space_group": "Cm", "total_energy_ev_per_atom": -3.295, "vol_a3_per_cell": 95}

Record 9
{"formula": "Rb3Cu2AgI6", "functional": "PBE", "state": "optimized geometry", "lattice_angstrom": [[8.501, 0.000, 0.000], [-4.250, 7.362, 0.000], [0.000, 0.000, 9.509]], "species": ["Rb", "Rb", "Rb", "Cu", "Cu", "Ag", "I", "I", "I", "I", "I", "I"], "fractional_positions": [[0.000, 0.000, 0.000], [0.333, 0.667, 0.644], [0.667, 0.333, 0.356], [0.333, 0.667, 0.282], [0.667, 0.333, 0.718], [0.000, 0.000, 0.500], [0.162, 0.325, 0.294], [0.162, 0.838, 0.294], [0.325, 0.162, 0.706], [0.675, 0.838, 0.294], [0.838, 0.162, 0.706], [0.838, 0.675, 0.706]], "space_group": "P-3m1", "vol_a3_per_cell": 595, "formation_energy_uncorrected_ev_per_atom": -0.751}

Record 10
{"formula": "Pm2Tl5In", "functional": "PBE", "state": "optimized geometry", "lattice_angstrom": [[6.789, 0.000, 0.000], [0.000, 13.578, 0.000], [0.000, 0.000, 4.784]], "species": ["Pm", "Pm", "Pm", "Pm", "Tl", "Tl", "Tl", "Tl", "Tl", "Tl", "Tl", "Tl", "Tl", "Tl", "In", "In"], "fractional_positions": [[0.247, 0.125, 0.000], [0.253, 0.625, 0.000], [0.747, 0.375, 0.000], [0.753, 0.875, 0.000], [0.000, 0.000, 0.500], [0.004, 0.749, 0.500], [0.244, 0.376, 0.000], [0.256, 0.876, 0.000], [0.496, 0.249, 0.500], [0.500, 0.500, 0.500], [0.504, 0.751, 0.500], [0.744, 0.124, 0.000], [0.756, 0.624, 0.000], [0.996, 0.251, 0.500], [0.000, 0.500, 0.500], [0.500, 0.000, 0.500]], "space_group": "Pbam", "total_energy_ev_per_atom": -3.328, "vol_a3_per_cell": 441}

Record 11
{"formula": "Sr2TeRhC", "functional": "PBE", "state": "optimized geometry", "lattice_angstrom": [[5.614, 0.000, 0.000], [0.000, 5.614, 0.000], [0.000, 0.000, 3.927]], "species": ["Sr", "Sr", "Te", "Rh", "C"], "fractional_positions": [[0.000, 0.500, 0.000], [0.500, 0.000, 0.000], [0.000, 0.000, 0.500], [0.500, 0.500, 0.500], [0.500, 0.500, 0.000]], "space_group": "P4/mmm", "vol_a3_per_cell": 124, "formation_energy_uncorrected_ev_per_atom": -0.536}

Record 12
{"formula": "LaTaBe2", "functional": "PBE", "state": "optimized geometry", "lattice_angstrom": [[-3.699, 3.699, 2.817], [3.699, -3.699, 2.817], [3.699, 3.699, -2.817]], "species": ["La", "La", "Ta", "Ta", "Be", "Be", "Be", "Be"], "fractional_positions": [[0.000, 0.000, 0.000], [0.750, 0.250, 0.500], [0.250, 0.750, 0.500], [0.500, 0.500, 0.000], [0.177, 0.125, 0.552], [0.375, 0.823, 0.948], [0.573, 0.625, 0.448], [0.875, 0.427, 0.052]], "space_group": "I-42d", "total_energy_ev_per_atom": -5.293, "vol_a3_per_cell": 154}